P:
The following is a DFT calculation (GGA-PBE) of ZrTaBe2 after structural relaxation.

It has space group I-42d (No. 122), with a = 6.8684 Å, b = 6.8684 Å, c = 5.2545 Å, α = 90.00°, β = 90.00° and γ = 90.00°. The inequivalent atoms are Zr at (0.0000, 0.0000, 0.0000), Ta at (0.0000, 0.0000, 0.5000) and Be at (0.2372, 0.7500, 0.6250).


Q:
The following is a DFT calculation (GGA-PBE) of ZrTaBe2 after structural relaxation.

It has space group P4/mmm (No. 123), with a = 4.4880 Å, b = 4.4880 Å, c = 2.8841 Å, α = 90.00°, β = 90.00° and γ = 90.00°. The inequivalent atoms are Zr at (0.0000, 0.0000, 0.0000), Ta at (0.5000, 0.5000, 0.0000) and Be at (0.0000, 0.5000, 0.5000).


R:
The following is a DFT calculation (GGA-PBE) of ZrTaBe2 after structural relaxation.

It has space group I-4m2 (No. 119), with a = 3.6956 Å, b = 3.6956 Å, c = 8.7150 Å, α = 90.00°, β = 90.00° and γ = 90.00°. The inequivalent atoms are Zr at (0.0000, 0.0000, 0.0000), Ta at (0.0000, 0.5000, 0.2500), Be at (0.0000, 0.0000, 0.5000) and Be at (0.0000, 0.5000, 0.7500).


Most stable: Q (next structure +134 meV/atom)


P:
The following is a DFT calculation (GGA-PBE) of ZrTaBe3 after structural relaxation.

It has space group Pm-3m (No. 221), with a = 4.2907 Å, b = 4.2907 Å, c = 4.2907 Å, α = 90.00°, β = 90.00° and γ = 90.00°. The inequivalent atoms are Zr at (0.0000, 0.0000, 0.0000), Ta at (0.5000, 0.5000, 0.5000) and Be at (0.0000, 0.0000, 0.5000).


Q:
The following is a DFT calculation (GGA-PBE) of ZrTaBe3 after structural relaxation.

It has space group Pm-3m (No. 221), with a = 4.3400 Å, b = 4.3400 Å, c = 4.3400 Å, α = 90.00°, β = 90.00° and γ = 90.00°. The inequivalent atoms are Zr at (0.0000, 0.0000, 0.0000), Ta at (0.5000, 0.5000, 0.5000) and Be at (0.0000, 0.5000, 0.5000).


Most stable: Q (next structure +644 meV/atom)